The following is a GGA-PBE calculation of crystalline LaH2Pd2 at its relaxed geometry, from Alexandria.

abc: 5.5502 5.5502 5.5502
angles: 138.02 138.02 60.87
Closest atoms and distances in Å follow each position.
Element x y z (fractional)
La 0.0000 0.0000 0.0000  2 H 2.72
H 0.2840 0.2840 0.0000  4 Pd 2.01
H 0.7160 0.7160 0.0000  4 Pd 2.01
Pd 0.2500 0.7500 0.5000  4 H 2.01
Pd 0.7500 0.2500 0.5000  4 H 2.01

Calculated values
Total energy (eV/cell): -24.04
SG: I4/mmm, No. 139
Energy above the lowest structure with this stoichiometry (meV per atom): 157.1
Density of states at the Fermi level (states/eV/atom): 0.302

***

The following is a GGA-PBE calculation of crystalline LaH3Pd at its relaxed geometry, from Alexandria.

abc: 4.1565 4.1565 9.1568
angles: 90.00 90.00 120.00
Closest atoms and distances in Å follow each position.
Element x y z (fractional)
La 0.0000 0.0000 0.0000  8 H 2.29-2.46
La 0.0000 0.0000 0.5000  8 H 2.29-2.46
H 0.0000 0.0000 0.2500  2 La 2.29, 3 Pd 2.40
H 0.0000 0.0000 0.7500  2 La 2.29, 3 Pd 2.40
H 0.3333 0.6667 0.0609  1 Pd 1.73
H 0.3333 0.6667 0.4391  1 Pd 1.73
H 0.6667 0.3333 0.5609  1 Pd 1.73
H 0.6667 0.3333 0.9391  1 Pd 1.73
Pd 0.3333 0.6667 0.2500  2 H 1.73
Pd 0.6667 0.3333 0.7500  2 H 1.73

Calculated values
Total energy (eV/cell): -44.23
SG: P6_3/mmc, No. 194
Density of states at the Fermi level (states/eV/atom): 0.325

***

The following is a GGA-PBE calculation of crystalline LaH3Pd at its relaxed geometry, from Alexandria.

abc: 6.4036 6.4036 5.0619
angles: 93.33 93.33 35.67
Closest atoms and distances in Å follow each position.
Element x y z (fractional)
La 0.0000 0.0000 0.0000  8 H 2.41-2.65
La 0.7323 0.7323 0.5082  7 H 2.40-2.64
H 0.1724 0.1724 0.2653  1 Pd 1.85
H 0.3576 0.3576 0.7426  2 Pd 1.78-1.79
H 0.5586 0.5586 0.2458  1 Pd 1.83
H 0.5665 0.5665 0.7582  1 Pd 1.86
H 0.7847 0.7847 0.0227  2 Pd 1.96
H 0.9456 0.9456 0.4849  2 Pd 1.96
Pd 0.2867 0.2867 0.0400  4 H 1.78-1.96
Pd 0.4545 0.4545 0.4908  5 H 1.79-1.96

Calculated values
Total energy (eV/cell): -45.87
SG: Cm, No. 8
Density of states at the Fermi level (states/eV/atom): 0.250

***

The following is a GGA-PBE calculation of crystalline LaH3Pd at its relaxed geometry, from Alexandria.

abc: 3.7854 3.7857 8.0609
angles: 90.00 90.01 90.00
Closest atoms and distances in Å follow each position.
Element x y z (fractional)
La 0.0000 0.0000 0.0000  8 H 2.42-2.68
La 0.5002 0.5000 0.3767  8 H 2.44-2.68
H 0.0003 0.0000 0.3895  1 Pd 1.82
H 0.0000 0.5000 0.1864  4 La 2.42-2.44, 8 H 2.50-2.68
H 0.0003 0.5000 0.6446  4 Pd 1.91-2.12
H 0.4994 0.5000 0.9823  1 Pd 1.76
H 0.5000 0.0000 0.1865  4 La 2.42-2.44, 8 H 2.50-2.68
H 0.5004 0.0000 0.6453  4 Pd 1.91-2.12
Pd 0.0004 0.0000 0.6155  5 H 1.82-1.91
Pd 0.5006 0.5000 0.7641  1 H 1.76

Calculated values
Total energy (eV/cell): -45.80
SG: Pm, No. 6
Density of states at the Fermi level (states/eV/atom): 0.304

***

Number 1: total magnetization 0.00 μB/cell. Number 2: total magnetization 0.00 μB/cell. Number 3: total magnetization 0.00 μB/cell. Number 4: total magnetization 0.00 μB/cell.